(1)
! Ce2H4Rh | the Alexandria database | PBE | relaxed; values from VASP
! Crystal system: tetragonal
! E: -5.099 eV per atom
! Total moment: 2.10 μB/cell
&SYSTEM
  ibrav = 0, nat = 7, ntyp = 3
/
ATOMIC_SPECIES
H 1.01 H.upf
Rh 102.91 Rh.upf
Ce 140.12 Ce.upf
CELL_PARAMETERS angstrom
-2.6448 -1.7417 1.3862
2.1940 -2.4037 1.1657
1.0035 5.7333 4.8079
ATOMIC_POSITIONS crystal
H 0.1897 0.1897 0.3793
H 0.0000 0.5000 0.0000
H 0.5000 0.0000 0.0000
H 0.8104 0.8104 0.6207
Rh 0.0000 0.0000 0.0000
Ce 0.3539 0.3539 0.7079
Ce 0.6461 0.6461 0.2921

---

(2)
! CeH6RuRh | the Alexandria database | PBE | relaxed; values from VASP
! Crystal system: hexagonal
! E: -4.994 eV per atom
! Total moment: 0.42 μB/cell
&SYSTEM
  ibrav = 0, nat = 9, ntyp = 4
/
ATOMIC_SPECIES
Rh 102.91 Rh.upf
H 1.01 H.upf
Ru 101.07 Ru.upf
Ce 140.12 Ce.upf
CELL_PARAMETERS angstrom
4.6376 -0.0002 0.0000
2.3187 4.0162 0.0001
0.0000 -0.0001 4.3270
ATOMIC_POSITIONS crystal
Rh 0.6667 0.6667 0.5000
H 0.0094 0.4953 0.7758
H 0.4953 0.4952 0.7758
H 0.4952 0.0095 0.7758
H 0.0094 0.4952 0.2242
H 0.4953 0.0095 0.2242
H 0.4952 0.4953 0.2242
Ru 0.3333 0.3333 0.5000
Ce 0.0000 0.0000 0.0000

---

(3)
! CeSbH2Rh2 | the Alexandria database | PBE | relaxed; values from VASP
! Crystal system: monoclinic
! E: -5.711 eV per atom
! Total moment: 1.02 μB/cell
&SYSTEM
  ibrav = 0, nat = 12, ntyp = 4
/
ATOMIC_SPECIES
Rh 102.91 Rh.upf
Sb 121.76 Sb.upf
H 1.01 H.upf
Ce 140.12 Ce.upf
CELL_PARAMETERS angstrom
-1.5489 -5.2706 1.7573
0.7070 -1.7026 -4.4837
6.2179 -1.0242 2.4086
ATOMIC_POSITIONS crystal
Rh 0.0079 0.7862 0.7987
Rh 0.9921 0.2138 0.2013
Rh 0.4921 0.7862 0.7987
Rh 0.5079 0.2138 0.2013
Sb 0.7500 0.7175 0.1197
Sb 0.2500 0.2825 0.8803
H 0.2500 0.2563 0.3593
H 0.7500 0.3309 0.3428
H 0.2500 0.6691 0.6572
H 0.7500 0.7437 0.6407
Ce 0.2500 0.7524 0.3369
Ce 0.7500 0.2476 0.6631

---

(4)
! CeSbHRh2 | the Alexandria database | PBE | relaxed; values from VASP
! Crystal system: orthorhombic
! E: -6.298 eV per atom
! Total moment: 0.90 μB/cell
&SYSTEM
  ibrav = 0, nat = 10, ntyp = 4
/
ATOMIC_SPECIES
Ce 140.12 Ce.upf
Rh 102.91 Rh.upf
Sb 121.76 Sb.upf
H 1.01 H.upf
CELL_PARAMETERS angstrom
-0.0142 -1.7307 -3.8478
1.3933 -4.1108 4.1570
-6.9716 -1.6062 0.7483
ATOMIC_POSITIONS crystal
Ce 0.5774 0.1547 0.2500
Ce 0.4226 0.8453 0.7500
Rh 0.8462 0.6923 0.0404
Rh 0.1538 0.3077 0.5404
Rh 0.8462 0.6923 0.4596
Rh 0.1538 0.3077 0.9596
Sb 0.7027 0.4055 0.7500
Sb 0.2973 0.5945 0.2500
H 0.0000 0.0000 0.5000
H 0.0000 0.0000 0.0000

---

(5)
! Ce2SiHRh6 | the Alexandria database | PBE | relaxed; values from VASP
! Crystal system: orthorhombic
! E: -7.192 eV per atom
! Total moment: 0.00 μB/cell
&SYSTEM
  ibrav = 0, nat = 20, ntyp = 4
/
ATOMIC_SPECIES
Rh 102.91 Rh.upf
Ce 140.12 Ce.upf
H 1.01 H.upf
Si 28.09 Si.upf
CELL_PARAMETERS angstrom
-2.6491 4.3639 -3.7929
-4.2325 -3.7822 -1.3955
-4.6274 2.7980 6.4512
ATOMIC_POSITIONS crystal
Rh 0.2878 0.4741 0.5000
Rh 0.2414 0.0100 0.0000
Rh 0.0000 0.7820 0.7678
Rh 0.5000 0.2180 0.7322
Rh 0.2122 0.5259 0.0000
Rh 0.2586 0.9900 0.5000
Rh 0.7414 0.9900 0.5000
Rh 0.7878 0.5259 0.0000
Rh 0.5000 0.2180 0.2678
Rh 0.7586 0.0100 0.0000
Rh 0.0000 0.7820 0.2322
Rh 0.7122 0.4741 0.5000
Ce 0.5000 0.7412 0.7565
Ce 0.0000 0.2588 0.7435
Ce 0.0000 0.2588 0.2565
Ce 0.5000 0.7412 0.2435
H 0.5000 0.2108 0.5000
H 0.0000 0.7892 0.0000
Si 0.5000 0.2963 0.0000
Si 0.0000 0.7037 0.5000

---

(6)
! CeSiHRh2 | the Alexandria database | PBE | relaxed; values from VASP
! Crystal system: orthorhombic
! E: -6.719 eV per atom
! Total moment: 0.22 μB/cell
&SYSTEM
  ibrav = 0, nat = 10, ntyp = 4
/
ATOMIC_SPECIES
Si 28.09 Si.upf
Rh 102.91 Rh.upf
H 1.01 H.upf
Ce 140.12 Ce.upf
CELL_PARAMETERS angstrom
3.8895 0.0000 0.0000
-1.9448 5.4577 0.0000
0.0000 0.0000 6.9528
ATOMIC_POSITIONS crystal
Si 0.7113 0.4226 0.7500
Si 0.2887 0.5774 0.2500
Rh 0.1596 0.3192 0.9521
Rh 0.8404 0.6808 0.4521
Rh 0.1596 0.3192 0.5479
Rh 0.8404 0.6808 0.0479
H 0.0000 0.0000 0.5000
H 0.0000 0.0000 0.0000
Ce 0.4293 0.8585 0.7500
Ce 0.5707 0.1415 0.2500

---

(7)
! CeSnHRh2 | the Alexandria database | PBE | relaxed; values from VASP
! Crystal system: orthorhombic
! E: -6.203 eV per atom
! Total moment: 0.54 μB/cell
&SYSTEM
  ibrav = 0, nat = 10, ntyp = 4
/
ATOMIC_SPECIES
Sn 118.71 Sn.upf
Rh 102.91 Rh.upf
Ce 140.12 Ce.upf
H 1.01 H.upf
CELL_PARAMETERS angstrom
-1.5284 -0.9718 3.8293
6.0247 0.9065 0.2917
-1.0979 6.8760 1.3068
ATOMIC_POSITIONS crystal
Sn 0.6880 0.3760 0.7500
Sn 0.3120 0.6240 0.2500
Rh 0.1527 0.3054 0.9706
Rh 0.1527 0.3054 0.5294
Rh 0.8473 0.6946 0.0294
Rh 0.8473 0.6946 0.4706
Ce 0.5916 0.1831 0.2500
Ce 0.4084 0.8169 0.7500
H 0.0000 0.0000 0.5000
H 0.0000 0.0000 0.0000

---

(8)
! CeSnH6Rh2 | the Alexandria database | PBE | relaxed; values from VASP
! Crystal system: trigonal
! E: -4.803 eV per atom
! Total moment: 1.17 μB/cell
&SYSTEM
  ibrav = 0, nat = 10, ntyp = 4
/
ATOMIC_SPECIES
Rh 102.91 Rh.upf
H 1.01 H.upf
Ce 140.12 Ce.upf
Sn 118.71 Sn.upf
CELL_PARAMETERS angstrom
-0.4540 -3.1003 -3.2696
3.5235 -1.0244 -2.6541
2.6138 -5.5233 1.7382
ATOMIC_POSITIONS crystal
Rh 0.2144 0.2144 0.3568
Rh 0.7856 0.7856 0.6432
H 0.0452 0.5621 0.8306
H 0.4379 0.9548 0.1694
H 0.9548 0.4379 0.1694
H 0.5621 0.5621 0.8306
H 0.5621 0.0452 0.8306
H 0.4379 0.4379 0.1694
Ce 0.0000 0.0000 0.0000
Sn 0.5000 0.5000 0.5000

---

(9)
! SrCeH8Rh2 | the Alexandria database | PBE | relaxed; values from VASP
! Crystal system: trigonal
! E: -4.389 eV per atom
! Total moment: 0.69 μB/cell
&SYSTEM
  ibrav = 0, nat = 12, ntyp = 4
/
ATOMIC_SPECIES
H 1.01 H.upf
Rh 102.91 Rh.upf
Ce 140.12 Ce.upf
Sr 87.62 Sr.upf
CELL_PARAMETERS angstrom
4.8014 0.0000 0.0000
2.4007 4.1581 0.0000
2.4007 1.3860 6.4743
ATOMIC_POSITIONS crystal
H 0.5675 0.0578 0.8072
H 0.8700 0.8700 0.3899
H 0.4325 0.4325 0.1928
H 0.5675 0.5675 0.8072
H 0.0578 0.5675 0.8072
H 0.9422 0.4325 0.1928
H 0.4325 0.9422 0.1928
H 0.1300 0.1300 0.6101
Rh 0.2167 0.2167 0.3499
Rh 0.7833 0.7833 0.6501
Ce 0.5000 0.5000 0.5000
Sr 0.0000 0.0000 0.0000

---

(10)
! Sr2CeH12Rh3 | the Alexandria database | PBE | relaxed; values from VASP
! Crystal system: trigonal
! E: -4.373 eV per atom
! Total moment: 0.91 μB/cell
&SYSTEM
  ibrav = 0, nat = 18, ntyp = 4
/
ATOMIC_SPECIES
H 1.01 H.upf
Rh 102.91 Rh.upf
Sr 87.62 Sr.upf
Ce 140.12 Ce.upf
CELL_PARAMETERS angstrom
6.2186 -0.3426 -0.2430
2.7732 5.5766 -0.2430
2.7732 1.6142 5.3434
ATOMIC_POSITIONS crystal
H 0.2800 0.2800 0.8999
H 0.7200 0.7200 0.1001
H 0.8999 0.2800 0.2800
H 0.1334 0.1334 0.5803
H 0.1334 0.5803 0.1334
H 0.1001 0.7200 0.7200
H 0.4197 0.8666 0.8666
H 0.8666 0.4197 0.8666
H 0.8666 0.8666 0.4197
H 0.7200 0.1001 0.7200
H 0.2800 0.8999 0.2800
H 0.5803 0.1334 0.1334
Rh 0.0000 0.5000 0.0000
Rh 0.0000 0.0000 0.5000
Rh 0.5000 0.0000 0.0000
Sr 0.3835 0.3835 0.3835
Sr 0.6165 0.6165 0.6165
Ce 0.0000 0.0000 0.0000

---

(11)
! CeTcH6Rh | the Alexandria database | PBE | relaxed; values from VASP
! Crystal system: hexagonal
! E: -5.087 eV per atom
! Total moment: 0.37 μB/cell
&SYSTEM
  ibrav = 0, nat = 9, ntyp = 4
/
ATOMIC_SPECIES
Rh 102.91 Rh.upf
Ce 140.12 Ce.upf
H 1.01 H.upf
Tc 98.00 Tc.upf
CELL_PARAMETERS angstrom
4.6545 0.0001 -0.0001
2.3273 4.0307 0.0001
0.0001 -0.0001 4.3621
ATOMIC_POSITIONS crystal
Rh 0.6666 0.6667 0.5000
Ce 0.0000 0.0000 0.0000
H 0.0078 0.4956 0.7762
H 0.0078 0.4964 0.2238
H 0.4957 0.4965 0.7762
H 0.4965 0.4957 0.2237
H 0.4964 0.0079 0.7762
H 0.4956 0.0078 0.2238
Tc 0.3333 0.3334 0.5000

---

(12)
! Ce2TcH6Rh | the Alexandria database | PBE | relaxed; values from VASP
! Crystal system: orthorhombic
! E: -5.396 eV per atom
! Total moment: 1.92 μB/cell
&SYSTEM
  ibrav = 0, nat = 10, ntyp = 4
/
ATOMIC_SPECIES
Ce 140.12 Ce.upf
H 1.01 H.upf
Rh 102.91 Rh.upf
Tc 98.00 Tc.upf
CELL_PARAMETERS angstrom
5.2763 -0.0058 0.0000
-0.0058 5.2766 -0.0001
2.6352 2.6354 3.7425
ATOMIC_POSITIONS crystal
Ce 0.7499 0.2501 0.5000
Ce 0.2501 0.7499 0.5000
H 0.7505 0.2494 0.0000
H 0.2495 0.7506 0.0000
H 0.7509 0.7509 0.0000
H 0.7502 0.7502 0.4999
H 0.2490 0.2491 0.0000
H 0.2498 0.2498 0.5001
Rh 0.0000 0.0000 0.0000
Tc 0.5000 0.5000 0.0000

---

(13)
! CeTmH8Rh2 | the Alexandria database | PBE | relaxed; values from VASP
! Crystal system: trigonal
! E: -4.627 eV per atom
! Total moment: 0.62 μB/cell
&SYSTEM
  ibrav = 0, nat = 12, ntyp = 4
/
ATOMIC_SPECIES
Tm 168.93 Tm.upf
Rh 102.91 Rh.upf
H 1.01 H.upf
Ce 140.12 Ce.upf
CELL_PARAMETERS angstrom
4.8510 0.0000 0.0000
2.4255 4.2011 0.0000
2.4255 1.4004 5.9016
ATOMIC_POSITIONS crystal
Tm 0.0000 0.0000 0.0000
Rh 0.2676 0.2676 0.1973
Rh 0.7324 0.7324 0.8027
H 0.8880 0.5654 0.1807
H 0.1763 0.1763 0.4710
H 0.4346 0.6341 0.8193
H 0.8237 0.8237 0.5290
H 0.6341 0.1120 0.8193
H 0.1120 0.4346 0.8193
H 0.5654 0.3659 0.1807
H 0.3659 0.8880 0.1807
Ce 0.5000 0.5000 0.5000

---

(14)
! CeZnH8Rh2 | the Alexandria database | PBE | relaxed; values from VASP
! Crystal system: trigonal
! E: -4.206 eV per atom
! Total moment: 1.12 μB/cell
&SYSTEM
  ibrav = 0, nat = 12, ntyp = 4
/
ATOMIC_SPECIES
H 1.01 H.upf
Rh 102.91 Rh.upf
Zn 65.41 Zn.upf
Ce 140.12 Ce.upf
CELL_PARAMETERS angstrom
-0.3267 1.2901 4.5242
0.5339 -3.2112 3.4120
5.5800 0.3873 2.7503
ATOMIC_POSITIONS crystal
H 0.0993 0.3877 0.8459
H 0.3329 0.9007 0.1541
H 0.3877 0.6671 0.8459
H 0.8061 0.8061 0.5817
H 0.6123 0.3329 0.1541
H 0.9007 0.6123 0.1541
H 0.1939 0.1939 0.4183
H 0.6671 0.0993 0.8459
Rh 0.2962 0.2962 0.1113
Rh 0.7038 0.7038 0.8887
Zn 0.0000 0.0000 0.0000
Ce 0.5000 0.5000 0.5000

---

(15)
! CeZnH6Rh | the Alexandria database | PBE | relaxed; values from VASP
! Crystal system: hexagonal
! E: -4.123 eV per atom
! Total moment: 1.18 μB/cell
&SYSTEM
  ibrav = 0, nat = 9, ntyp = 4
/
ATOMIC_SPECIES
H 1.01 H.upf
Rh 102.91 Rh.upf
Ce 140.12 Ce.upf
Zn 65.41 Zn.upf
CELL_PARAMETERS angstrom
4.5601 -0.0001 -0.0004
2.2800 3.9490 0.0002
-0.0002 0.0001 4.5030
ATOMIC_POSITIONS crystal
H 0.0165 0.4918 0.2265
H 0.4918 0.0165 0.7734
H 0.4918 0.4916 0.2265
H 0.4916 0.0165 0.2265
H 0.4916 0.4919 0.7734
H 0.0165 0.4917 0.7735
Rh 0.3334 0.3333 0.5000
Ce 0.0000 0.0000 0.0000
Zn 0.6666 0.6667 0.5000

---

(16)
! Ce4ZnH3Rh12 | the Alexandria database | PBE | relaxed; values from VASP
! Crystal system: cubic
! E: -6.682 eV per atom
! Total moment: 0.00 μB/cell
&SYSTEM
  ibrav = 0, nat = 20, ntyp = 4
/
ATOMIC_SPECIES
Rh 102.91 Rh.upf
Ce 140.12 Ce.upf
H 1.01 H.upf
Zn 65.41 Zn.upf
CELL_PARAMETERS angstrom
-4.0410 -5.9633 -1.1387
1.0085 0.9217 7.1638
-3.4320 5.8221 -2.7408
ATOMIC_POSITIONS crystal
Rh 0.7500 0.2500 0.5000
Rh 0.7165 0.7165 0.0000
Rh 0.0000 0.2835 0.2835
Rh 0.5000 0.7500 0.2500
Rh 0.0000 0.7165 0.7165
Rh 0.2500 0.7500 0.5000
Rh 0.7165 0.0000 0.7165
Rh 0.5000 0.2500 0.7500
Rh 0.7500 0.5000 0.2500
Rh 0.2835 0.2835 0.0000
Rh 0.2500 0.5000 0.7500
Rh 0.2835 0.0000 0.2835
Ce 0.0000 0.0000 0.5000
Ce 0.5000 0.0000 0.0000
Ce 0.0000 0.5000 0.0000
Ce 0.5000 0.5000 0.5000
H 0.5000 0.0000 0.5000
H 0.0000 0.5000 0.5000
H 0.5000 0.5000 0.0000
Zn 0.0000 0.0000 0.0000

---

(17)
! CeHRu | the Alexandria database | PBE | relaxed; values from VASP
! Crystal system: triclinic
! E: -6.493 eV per atom
! Total moment: 0.24 μB/cell
&SYSTEM
  ibrav = 0, nat = 6, ntyp = 3
/
ATOMIC_SPECIES
Ce 140.12 Ce.upf
H 1.01 H.upf
Ru 101.07 Ru.upf
CELL_PARAMETERS angstrom
-2.0487 0.7328 -2.3163
3.2033 -3.6969 -1.6958
-5.3820 -0.5340 6.3971
ATOMIC_POSITIONS crystal
Ce 0.0503 0.9567 0.7655
Ce 0.9497 0.0433 0.2345
H 0.1794 0.7465 0.9482
H 0.8206 0.2535 0.0518
Ru 0.9624 0.3156 0.6815
Ru 0.0376 0.6844 0.3185

---

(18)
! Ce4HRu2 | the Alexandria database | PBE | relaxed; values from VASP
! Crystal system: tetragonal
! E: -6.761 eV per atom
! Total moment: 2.16 μB/cell
&SYSTEM
  ibrav = 0, nat = 7, ntyp = 3
/
ATOMIC_SPECIES
Ru 101.07 Ru.upf
Ce 140.12 Ce.upf
H 1.01 H.upf
CELL_PARAMETERS angstrom
-3.2189 3.0973 1.0312
-2.4417 -3.2456 2.1265
6.2668 1.5710 4.6517
ATOMIC_POSITIONS crystal
Ru 0.3540 0.3540 0.7081
Ru 0.6460 0.6460 0.2919
Ce 0.0000 0.5000 0.0000
Ce 0.8047 0.8047 0.6094
Ce 0.1953 0.1953 0.3906
Ce 0.5000 0.0000 0.0000
H 0.0000 0.0000 0.0000

---

(19)
! Ce3HRu2 | the Alexandria database | PBE | relaxed; values from VASP
! Crystal system: monoclinic
! E: -6.916 eV per atom
! Total moment: 0.95 μB/cell
&SYSTEM
  ibrav = 0, nat = 12, ntyp = 3
/
ATOMIC_SPECIES
Ru 101.07 Ru.upf
Ce 140.12 Ce.upf
H 1.01 H.upf
CELL_PARAMETERS angstrom
6.8537 0.0000 -0.0811
3.4268 5.9360 -0.0406
2.3260 0.0000 6.1625
ATOMIC_POSITIONS crystal
Ru 0.5000 0.0000 0.5000
Ru 0.0000 0.0000 0.0000
Ru 0.8205 0.3591 0.5000
Ru 0.1795 0.6409 0.5000
Ce 0.0830 0.3364 0.7556
Ce 0.2532 0.0000 0.2494
Ce 0.5807 0.3364 0.2444
Ce 0.4193 0.6636 0.7556
Ce 0.9170 0.6636 0.2444
Ce 0.7468 0.0000 0.7506
H 0.3371 0.3259 0.0000
H 0.6629 0.6741 0.0000

---

(20)
! CeHRu3 | the Alexandria database | PBE | relaxed; values from VASP
! Crystal system: cubic
! E: -7.548 eV per atom
! Total moment: 0.00 μB/cell
&SYSTEM
  ibrav = 0, nat = 5, ntyp = 3
/
ATOMIC_SPECIES
Ce 140.12 Ce.upf
Ru 101.07 Ru.upf
H 1.01 H.upf
CELL_PARAMETERS angstrom
-1.8621 -2.2502 -2.8614
3.3231 -2.3627 -0.3045
-1.4859 -2.4642 2.9048
ATOMIC_POSITIONS crystal
Ce 0.5000 0.5000 0.5000
Ru 0.0000 0.0000 0.5000
Ru 0.0000 0.5000 0.0000
Ru 0.5000 0.0000 0.0000
H 0.0000 0.0000 0.0000